# MgIn3B | Alexandria via LeMat-Bulk | PBE | relaxed
data_MgIn3B
_cell_length_a 4.8940
_cell_length_b 4.8940
_cell_length_c 4.8940
_cell_angle_alpha 90.00
_cell_angle_beta 90.00
_cell_angle_gamma 90.00
_space_group_name_H-M_alt 'P m -3 m'
_space_group_IT_number 221
_space_group_name_Hall '-P 4 2 3'
loop_
_atom_site_label
_atom_site_fract_x
_atom_site_fract_y
_atom_site_fract_z
Mg1 0.0000 0.0000 0.0000
In1 0.0000 0.5000 0.5000
B1 0.5000 0.5000 0.5000
# offset from the most stable computed form	0.000	eV/atom
# energy of formation from the pure elements	495.6	meV per atom
# final energy	-2.80	eV/atom